The following is a DFT calculation (PBE-GGA) of Th5ReBi3 after structural relaxation.

Properties
The calculation puts the energy at -7.24 eV per atom. For the formation energy, the calculation gives -4.0 eV per formula unit.

Geometry as POSCAR:
```
Th5ReBi3
1.0
9.7425 0.0000 0.0000
-4.8713 8.4373 0.0000
0.0000 0.0000 6.5826
Th Re Bi
10 2 6
direct
0.0000 0.2411 0.2500 Th
0.0000 0.7589 0.7500 Th
0.2411 0.0000 0.2500 Th
0.2411 0.2411 0.7500 Th
0.3333 0.6667 0.0000 Th
0.3333 0.6667 0.5000 Th
0.6667 0.3333 0.0000 Th
0.6667 0.3333 0.5000 Th
0.7589 0.0000 0.7500 Th
0.7589 0.7589 0.2500 Th
0.0000 0.0000 0.0000 Re
0.0000 0.0000 0.5000 Re
0.0000 0.3971 0.7500 Bi
0.0000 0.6029 0.2500 Bi
0.3971 0.0000 0.7500 Bi
0.3971 0.3971 0.2500 Bi
0.6029 0.0000 0.2500 Bi
0.6029 0.6029 0.7500 Bi
```